1.
# HoTmHg6

HoTmHg6 after structural relaxation (PBE, Alexandria).

Properties
DFT formation energy = -0.32 eV/atom
Uncorrected energy = -1.675 eV per atom

Cell: 4.995 6.712 11.315 Å, 90.00 90.00 90.00°
Space group Amm2 (No. 38)
Inequivalent atoms, fractional coordinates:
Ho (0.000, 0.000, 0.000) [2 per cell]
Tm (0.500, 0.000, 0.685) [2 per cell]
Hg (0.000, 0.000, 0.514) [2 per cell]
Hg (0.000, 0.244, 0.256) [4 per cell]
Hg (0.500, 0.000, 0.172) [2 per cell]
Hg (0.500, 0.243, 0.428) [4 per cell]

=====

2.
# Ho4TmHg5

Ho4TmHg5 after structural relaxation (PBE, Alexandria).

Properties
DFT formation energy = -0.48 eV/atom
Uncorrected energy = -2.911 eV per atom

Cell: 3.698 3.698 18.528 Å, 90.00 90.00 90.00°
Space group P4/mmm (No. 123)
Inequivalent atoms, fractional coordinates:
Ho (0.000, 0.000, 0.100) [2 per cell]
Ho (0.000, 0.000, 0.301) [2 per cell]
Tm (0.000, 0.000, 0.500) [1 per cell]
Hg (0.500, 0.500, 0.000) [1 per cell]
Hg (0.500, 0.500, 0.201) [2 per cell]
Hg (0.500, 0.500, 0.402) [2 per cell]

=====

3.
# Ho4TmHg

Ho4TmHg after structural relaxation (PBE, Alexandria).

Properties
DFT formation energy = -0.04 eV/atom
Uncorrected energy = -3.889 eV per atom

Cell: 8.636 13.817 6.306 Å, 90.00 108.74 90.00°
Space group C2/c (No. 15)
Inequivalent atoms, fractional coordinates:
Ho (0.099, 0.189, 0.044) [8 per cell]
Ho (0.217, 0.380, 0.377) [8 per cell]
Tm (0.000, 0.407, 0.750) [4 per cell]
Hg (0.000, 0.001, 0.750) [4 per cell]

=====

4.
# HoTm5Hg6

HoTm5Hg6 after structural relaxation (PBE, Alexandria).

Properties
DFT formation energy = -0.48 eV/atom
Uncorrected energy = -2.875 eV per atom

Cell: 5.188 15.637 7.372 Å, 90.00 90.00 90.00°
Space group Cmmm (No. 65)
Inequivalent atoms, fractional coordinates:
Ho (0.000, 0.000, 0.000) [2 per cell]
Tm (0.000, 0.000, 0.500) [2 per cell]
Tm (0.000, 0.333, 0.000) [4 per cell]
Tm (0.000, 0.334, 0.500) [4 per cell]
Hg (0.000, 0.167, 0.252) [8 per cell]
Hg (0.000, 0.500, 0.251) [4 per cell]

=====

5.
# Ho3Tm2Hg2

Ho3Tm2Hg2 after structural relaxation (PBE, Alexandria).

Properties
DFT formation energy = -0.18 eV/atom
Uncorrected energy = -3.502 eV per atom

Cell: 3.535 31.895 3.515 Å, 90.00 90.00 90.00°
Space group Cmmm (No. 65)
Inequivalent atoms, fractional coordinates:
Ho (0.000, 0.000, 0.000) [2 per cell]
Ho (0.000, 0.127, 0.000) [4 per cell]
Tm (0.000, 0.296, 0.500) [4 per cell]
Hg (0.000, 0.437, 0.500) [4 per cell]

=====

6.
# Ho5Tm4Hg

Ho5Tm4Hg after structural relaxation (PBE, Alexandria).

Properties
DFT formation energy = -0.07 eV/atom
Uncorrected energy = -4.181 eV per atom

Cell: 3.520 3.520 23.844 Å, 90.00 90.00 90.00°
Space group P4/mmm (No. 123)
Inequivalent atoms, fractional coordinates:
Ho (0.000, 0.000, 0.000) [1 per cell]
Ho (0.000, 0.000, 0.207) [2 per cell]
Ho (0.000, 0.000, 0.415) [2 per cell]
Tm (0.500, 0.500, 0.103) [2 per cell]
Tm (0.500, 0.500, 0.310) [2 per cell]
Hg (0.500, 0.500, 0.500) [1 per cell]